Entry from Alexandria via LeMat-Bulk: a geometry-optimized CaCeAsPd structure (GGA-PBE).

a b c (Å): 5.0871 5.0871 5.0871
angles (deg): 60.00 60.00 60.00
Last column: magnetic moment on the atom in μB.
Sites, in units of the cell vectors:
As1 0.2500 0.2500 0.2500  -0.02
Ca1 0.5000 0.5000 0.5000  0.01
Pd1 0.7500 0.7500 0.7500  -0.03
Ce1 0.0000 0.0000 0.0000  0.85

Output
Energy   -5.309 eV/atom
Size of the total moment   0.992 μB/f.u.
Calculated density   6449 kg/m³